(1)
{"formula": "LaBePt3", "functional": "PBE", "state": "relaxed", "lattice": [[6.934, 0.000, 0.000], [0.000, 5.679, 0.000], [-5.158, 0.000, 9.362]], "species": ["La", "La", "La", "La", "Be", "Be", "Be", "Be", "Pt", "Pt", "Pt", "Pt", "Pt", "Pt", "Pt", "Pt", "Pt", "Pt", "Pt", "Pt"], "fractional_positions": [[0.231, 0.241, 0.074], [0.231, 0.259, 0.574], [0.769, 0.741, 0.426], [0.769, 0.759, 0.926], [0.270, 0.723, 0.924], [0.270, 0.777, 0.424], [0.730, 0.223, 0.576], [0.730, 0.277, 0.076], [0.034, 0.021, 0.762], [0.034, 0.479, 0.262], [0.254, 0.748, 0.158], [0.254, 0.752, 0.658], [0.395, 0.149, 0.377], [0.395, 0.351, 0.877], [0.605, 0.649, 0.123], [0.605, 0.851, 0.623], [0.746, 0.248, 0.342], [0.746, 0.252, 0.842], [0.966, 0.521, 0.738], [0.966, 0.979, 0.238]], "spacegroup": "No. 14", "polymorph_energy_mev_per_atom": 113, "e_form_ev_per_atom": -0.8383}

(2)
{"formula": "LaBePt2", "functional": "PBE", "state": "relaxed", "lattice": [[2.897, -2.877, 0.000], [2.897, 2.877, 0.000], [-1.145, 0.000, 9.141]], "species": ["La", "La", "Be", "Be", "Pt", "Pt", "Pt", "Pt"], "fractional_positions": [[0.180, 0.180, 0.209], [0.820, 0.820, 0.791], [0.273, 0.273, 0.622], [0.727, 0.727, 0.378], [0.251, 0.749, 0.500], [0.342, 0.342, 0.875], [0.658, 0.658, 0.125], [0.749, 0.251, 0.500]], "spacegroup": "No. 12", "e_form_ev_per_atom": -0.9990}

(3)
{"formula": "LaBePt3", "functional": "PBE", "state": "relaxed", "lattice": [[5.022, -2.217, 0.000], [5.022, 2.217, 0.000], [-2.402, 0.000, 8.395]], "species": ["La", "La", "Be", "Be", "Pt", "Pt", "Pt", "Pt", "Pt", "Pt"], "fractional_positions": [[0.102, 0.102, 0.220], [0.898, 0.898, 0.780], [0.394, 0.394, 0.518], [0.606, 0.606, 0.482], [0.185, 0.185, 0.580], [0.202, 0.202, 0.921], [0.404, 0.404, 0.260], [0.596, 0.596, 0.740], [0.798, 0.798, 0.079], [0.815, 0.815, 0.420]], "spacegroup": "No. 12", "polymorph_energy_mev_per_atom": 121, "e_form_ev_per_atom": -0.8306}

(4)
{"formula": "LaBePt", "functional": "PBE", "state": "relaxed", "lattice": [[6.285, 0.000, 0.000], [0.000, 6.285, 0.000], [0.000, 0.000, 6.285]], "species": ["La", "La", "La", "La", "Be", "Be", "Be", "Be", "Pt", "Pt", "Pt", "Pt"], "fractional_positions": [[0.107, 0.107, 0.107], [0.393, 0.893, 0.607], [0.607, 0.393, 0.893], [0.893, 0.607, 0.393], [0.096, 0.596, 0.904], [0.404, 0.404, 0.404], [0.596, 0.904, 0.096], [0.904, 0.096, 0.596], [0.172, 0.328, 0.672], [0.328, 0.672, 0.172], [0.672, 0.172, 0.328], [0.828, 0.828, 0.828]], "spacegroup": "No. 198", "polymorph_energy_mev_per_atom": 37, "e_form_ev_per_atom": -0.7357}